1.
# Nd2CdSb3Pd4

An optimized crystal structure of Nd2CdSb3Pd4 (PBE, Alexandria via LeMat-Bulk).

Its space group is P-4m2.

Structure (POSCAR):
```
Nd2CdSb3Pd4
1.0
4.4733 0.0000 0.0000
0.0000 4.4733 0.0000
0.0000 0.0000 11.1891
Nd Cd Sb Pd
2 1 3 4
Direct
0.0000 0.5000 0.2365 Nd
0.5000 0.0000 0.7635 Nd
0.0000 0.0000 0.5000 Cd
0.0000 0.5000 0.8668 Sb
0.5000 0.0000 0.1332 Sb
0.5000 0.5000 0.5000 Sb
0.0000 0.0000 0.0000 Pd
0.0000 0.5000 0.6378 Pd
0.5000 0.0000 0.3622 Pd
0.5000 0.5000 0.0000 Pd
```

2.
# Ca3Al2Si3

An optimized crystal structure of Ca3Al2Si3 (PBE, Alexandria via LeMat-Bulk).

Its space group is Cmcm.

Structure (POSCAR):
```
Ca3Al2Si3
1.0
2.1638 -5.6475 0.0000
2.1638 5.6475 0.0000
0.0000 0.0000 14.8926
Ca Al Si
6 4 6
Direct
0.0500 0.9500 0.7500 Ca
0.3494 0.6506 0.6057 Ca
0.3494 0.6506 0.8943 Ca
0.6506 0.3494 0.1057 Ca
0.6506 0.3494 0.3943 Ca
0.9500 0.0500 0.2500 Ca
0.3626 0.6374 0.1170 Al
0.3626 0.6374 0.3830 Al
0.6374 0.3626 0.6170 Al
0.6374 0.3626 0.8830 Al
0.0853 0.9147 0.5450 Si
0.0853 0.9147 0.9550 Si
0.2280 0.7720 0.2500 Si
0.7720 0.2280 0.7500 Si
0.9147 0.0853 0.0450 Si
0.9147 0.0853 0.4550 Si
```

Number 1: formation energy without anion corrections -0.7934 eV/atom. Number 2: formation energy without anion corrections -0.3495 eV/atom.